Entry 1:
Compound: ZrTlCo2I
Source: the Alexandria database
Functional: meta-GGA SCAN
Structure: single point on PBEsol structure

```
ZrTlCo2I
1.0
4.752 0.000 0.000
0.000 4.752 0.000
0.000 0.000 5.410
I Tl Co Zr
1 1 2 1
Direct
0.500 0.500 0.500 I
0.000 0.000 0.000 Tl
0.000 0.500 0.000 Co
0.500 0.000 0.000 Co
0.000 0.000 0.500 Zr
```

Values from the calculation:
* D(E_F): 3.76 states/eV per cell
* volume: 122 Å³/f.u.
* VASP energy: -33.751 eV/atom
* uncorrected formation energy: 5.65 eV per formula unit

Entry 2:
Compound: BePt
Source: the Alexandria database
Functional: meta-GGA SCAN
Structure: single point on PBEsol structure

```
BePt
1.0
4.292 0.000 0.000
-2.146 3.717 0.000
0.000 0.000 6.688
Be Pt
4 4
Direct
0.667 0.333 0.908 Be
0.333 0.667 0.408 Be
0.333 0.667 0.092 Be
0.667 0.333 0.592 Be
0.000 0.000 0.750 Pt
0.000 0.000 0.250 Pt
0.667 0.333 0.250 Pt
0.333 0.667 0.750 Pt
```

Values from the calculation:
* D(E_F): 4.41 states/eV per cell
* energy relative to the elements: -0.0893 eV/atom
* volume: 27 Å³/f.u.
* VASP energy: -37.363 eV/atom

Entry 3:
Compound: MgFeSe2
Source: the Alexandria database
Functional: meta-GGA SCAN
Structure: single point on PBEsol structure

```
MgFeSe2
1.0
3.588 0.000 0.000
-1.794 3.405 0.000
0.000 0.000 7.049
Fe Mg Se
1 1 2
Direct
0.500 0.000 0.500 Fe
0.500 0.000 0.000 Mg
0.000 0.000 0.732 Se
0.000 0.000 0.268 Se
```

Values from the calculation:
* D(E_F): 1.22 states/eV per cell
* volume: 86 Å³/f.u.
* VASP energy: -16.194 eV/atom
* uncorrected formation energy: -1.52 eV per formula unit

Entry 4:
Compound: BeTcIr2
Source: the Alexandria database
Functional: meta-GGA SCAN
Structure: single point on PBEsol structure

```
BeTcIr2
1.0
2.743 0.000 0.000
0.000 2.743 0.000
0.000 0.000 6.549
Be Ir Tc
1 2 1
Direct
0.500 0.500 0.500 Be
0.000 0.000 0.718 Ir
0.000 0.000 0.282 Ir
0.500 0.500 0.000 Tc
```

Values from the calculation:
* D(E_F): 2.04 states/eV per cell
* energy relative to the elements: -0.5429 eV/atom
* volume: 49 Å³/f.u.
* VASP energy: -45.946 eV/atom

Entry 5:
Compound: ZnCoIr2
Source: the Alexandria database
Functional: meta-GGA SCAN
Structure: single point on PBEsol structure

```
ZnCoIr2
1.0
2.660 0.002 0.000
-0.190 4.684 0.000
-1.235 -2.343 4.288
Co Ir Zn
1 2 1
Direct
0.000 0.500 0.000 Co
0.000 0.000 0.500 Ir
0.500 0.500 0.500 Ir
0.500 0.000 0.000 Zn
```

Values from the calculation:
* D(E_F): 2.55 states/eV per cell
* energy relative to the elements: -0.0107 eV/atom
* volume: 53 Å³/f.u.
* VASP energy: -43.265 eV/atom

Entry 6:
Compound: CsGe2IrS
Source: the Alexandria database
Functional: meta-GGA SCAN
Structure: single point on PBEsol structure

```
CsGe2IrS
1.0
-3.767 -2.689 1.005
-0.442 -1.095 -4.586
3.531 -4.659 0.772
Cs Ge Ir S
1 2 1 1
Direct
0.000 0.000 0.500 Cs
0.000 0.500 0.000 Ge
0.500 0.000 0.000 Ge
0.500 0.500 0.500 Ir
0.000 0.000 0.000 S
```

Values from the calculation:
* D(E_F): 3.50 states/eV per cell
* volume: 132 Å³/f.u.
* VASP energy: -30.021 eV/atom
* uncorrected formation energy: 6.61 eV per formula unit

Entry 7:
Compound: Tc3Ru
Source: the Alexandria database
Functional: meta-GGA SCAN
Structure: single point on PBEsol structure

```
Tc3Ru
1.0
4.313 0.000 0.000
0.000 5.427 0.000
0.000 -2.714 4.700
Ru Tc
2 6
Direct
0.750 0.667 0.333 Ru
0.250 0.333 0.667 Ru
0.750 0.165 0.331 Tc
0.250 0.835 0.669 Tc
0.750 0.165 0.835 Tc
0.250 0.835 0.165 Tc
0.750 0.669 0.835 Tc
0.250 0.331 0.165 Tc
```

Values from the calculation:
* D(E_F): 6.84 states/eV per cell
* energy relative to the elements: -0.0567 eV/atom
* volume: 55 Å³/f.u.
* VASP energy: -35.058 eV/atom

Entry 8:
Compound: ZrAg3
Source: the Alexandria database
Functional: meta-GGA SCAN
Structure: single point on PBEsol structure

```
ZrAg3
1.0
-2.067 0.516 2.001
1.925 -2.161 0.411
5.901 6.118 4.517
Zr Ag
1 3
Direct
0.000 0.000 0.500 Zr
0.333 0.667 0.242 Ag
0.333 0.667 0.758 Ag
0.000 0.000 0.000 Ag
```

Values from the calculation:
* D(E_F): 1.35 states/eV per cell
* energy relative to the elements: 0.0220 eV/atom
* volume: 71 Å³/f.u.
* VASP energy: -31.178 eV/atom

Asked for M_tot across the records above, the calculation gives 0.74; 0.00; 0.95; 0.01; 0.65; 0.20; 0.00; 0.00 μB per atom in order.